Below is an optimized crystal structure of K2HfW3O12, with properties calculated at the PBE with a Hubbard U level.

Unit cell a=7.4684 b=7.4684 c=7.4684 alpha=59.61 beta=59.61 gamma=59.61
Last column: nearest neighbours and their distance in Å.
Atoms (fractional coordinates):
K1 0.1527 0.1527 0.1527  3 O 2.97
K2 0.8473 0.8473 0.8473  3 O 2.97
Hf1 0.5000 0.5000 0.5000  6 O 2.08
W1 0.0000 0.5000 0.5000  6 O 1.91-1.96
W2 0.5000 0.0000 0.5000  6 O 1.91-1.96
W3 0.5000 0.5000 0.0000  6 O 1.91-1.96
O1 0.1711 0.5665 0.5665  1 W 1.91, 1 Hf 2.08
O2 0.1916 0.1916 0.5605  2 W 1.96
O3 0.1916 0.5605 0.1916  2 W 1.96
O4 0.4335 0.4335 0.8289  1 W 1.91, 1 Hf 2.08
O5 0.4335 0.8289 0.4335  1 W 1.91, 1 Hf 2.08
O6 0.4395 0.8084 0.8084  2 W 1.96
O7 0.5605 0.1916 0.1916  2 W 1.96
O8 0.5665 0.1711 0.5665  1 W 1.91, 1 Hf 2.08
O9 0.5665 0.5665 0.1711  1 W 1.91, 1 Hf 2.08
O10 0.8084 0.4395 0.8084  2 W 1.96
O11 0.8084 0.8084 0.4395  2 W 1.96
O12 0.8289 0.4335 0.4335  1 W 1.91, 1 Hf 2.08

Properties
The volume is 292 Å³/f.u. The calculation puts the total magnetic moment at 0.000 Bohr magnetons per cell. For the electronic total energy, the calculation gives -7.501 eV per atom. The crystal system is trigonal.